This record from the Alexandria database describes a relaxed Y3Mn4 crystal. The functional is GGA-PBE.

Computed properties:
Total energy in Ry/atom: -0.5299
Calculated formation energy in meV/atom: 801
Crystal system: hexagonal
Distance to the lowest polymorph of the same formula in eV per atom: 0.4934

Cell and atoms, written as CIF:
```
data_Y3Mn4
_cell_length_a 6.2380
_cell_length_b 6.2380
_cell_length_c 4.9769
_cell_angle_alpha 90.00
_cell_angle_beta 90.00
_cell_angle_gamma 120.00
_symmetry_space_group_name_H-M 'P 6/m m m'
_symmetry_Int_Tables_number 191
_symmetry_space_group_name_Hall '-P 6 2'
loop_
_atom_site_label
_atom_site_fract_x
_atom_site_fract_y
_atom_site_fract_z
Y1 0.0000 0.5000 0.0000
Mn1 0.0000 0.0000 0.2485
Mn2 0.3333 0.6667 0.5000
```

***

This record from the Alexandria database describes a relaxed Mg2CdIrC crystal. The functional is GGA-PBE.

Computed properties:
Total energy in Ry/atom: -0.3281
Calculated formation energy in meV/atom: -26
Crystal system: tetragonal

Cell and atoms, written as CIF:
```
data_Mg2CdIrC
_cell_length_a 4.5590
_cell_length_b 4.5590
_cell_length_c 3.9023
_cell_angle_alpha 90.00
_cell_angle_beta 90.00
_cell_angle_gamma 90.00
_symmetry_space_group_name_H-M 'P 4/m m m'
_symmetry_Int_Tables_number 123
_symmetry_space_group_name_Hall '-P 4 2'
loop_
_atom_site_label
_atom_site_fract_x
_atom_site_fract_y
_atom_site_fract_z
Mg1 0.0000 0.5000 0.0000
Cd1 0.0000 0.0000 0.5000
Ir1 0.5000 0.5000 0.5000
C1 0.5000 0.5000 0.0000
```

***

This record from the Alexandria database describes a relaxed SrTaS2 crystal. The functional is GGA-PBE.

Computed properties:
Total energy in Ry/atom: -0.4388
E_form (uncorrected) in eV/atom: -0.52
Crystal system: trigonal
Distance to the lowest polymorph of the same formula in eV per atom: 0.2930

Cell and atoms, written as CIF:
```
data_SrTaS2
_cell_length_a 3.9912
_cell_length_b 3.9912
_cell_length_c 24.4656
_cell_angle_alpha 90.00
_cell_angle_beta 90.00
_cell_angle_gamma 120.00
_symmetry_space_group_name_H-M 'R -3 m'
_symmetry_Int_Tables_number 166
_symmetry_space_group_name_Hall '-R 3 2"'
loop_
_atom_site_label
_atom_site_fract_x
_atom_site_fract_y
_atom_site_fract_z
Sr1 0.0000 0.0000 0.0000
Ta1 0.0000 0.0000 0.5000
S1 0.0000 0.0000 0.4050
```

***

This record from the Alexandria database describes a relaxed CsAgBr2F crystal. The functional is GGA-PBE.

Computed properties:
Total energy in Ry/atom: -0.2167
E_form (uncorrected) in eV/atom: -1.16
Crystal system: tetragonal

Cell and atoms, written as CIF:
```
data_CsAgBr2F
_cell_length_a 5.5003
_cell_length_b 5.5003
_cell_length_c 4.6253
_cell_angle_alpha 90.00
_cell_angle_beta 90.00
_cell_angle_gamma 90.00
_symmetry_space_group_name_H-M 'P 4/m m m'
_symmetry_Int_Tables_number 123
_symmetry_space_group_name_Hall '-P 4 2'
loop_
_atom_site_label
_atom_site_fract_x
_atom_site_fract_y
_atom_site_fract_z
Cs1 0.0000 0.0000 0.0000
Ag1 0.5000 0.5000 0.5000
Br1 0.0000 0.5000 0.5000
F1 0.5000 0.5000 0.0000
```

***

This record from the Alexandria database describes a relaxed MgTcIr2Os crystal. The functional is GGA-PBE.

Computed properties:
Total energy in Ry/atom: -0.4996
Calculated formation energy in meV/atom: 1386
Crystal system: tetragonal

Cell and atoms, written as CIF:
```
data_MgTcIr2Os
_cell_length_a 4.7883
_cell_length_b 4.7883
_cell_length_c 4.6344
_cell_angle_alpha 90.00
_cell_angle_beta 90.00
_cell_angle_gamma 90.00
_symmetry_space_group_name_H-M 'P 4/m m m'
_symmetry_Int_Tables_number 123
_symmetry_space_group_name_Hall '-P 4 2'
loop_
_atom_site_label
_atom_site_fract_x
_atom_site_fract_y
_atom_site_fract_z
Mg1 0.0000 0.0000 0.0000
Tc1 0.5000 0.5000 0.0000
Ir1 0.0000 0.5000 0.5000
Os1 0.5000 0.5000 0.5000
```

***

This record from the Alexandria database describes a relaxed LaY2Sc crystal. The functional is GGA-PBE.

Computed properties:
Total energy in Ry/atom: -0.4362
Calculated formation energy in meV/atom: 112
Crystal system: orthorhombic
Distance to the lowest polymorph of the same formula in eV per atom: 0.0780

Cell and atoms, written as CIF:
```
data_LaY2Sc
_cell_length_a 3.9791
_cell_length_b 5.6279
_cell_length_c 5.6379
_cell_angle_alpha 90.00
_cell_angle_beta 90.00
_cell_angle_gamma 90.00
_symmetry_space_group_name_H-M 'P m m m'
_symmetry_Int_Tables_number 47
_symmetry_space_group_name_Hall '-P 2 2'
loop_
_atom_site_label
_atom_site_fract_x
_atom_site_fract_y
_atom_site_fract_z
La1 0.0000 0.0000 0.0000
Y1 0.0000 0.5000 0.5000
Y2 0.5000 0.5000 0.0000
Sc1 0.5000 0.0000 0.5000
```